CuPPt2 | GGA-PBE | optimized geometry

Energy above the lowest structure with this stoichiometry, meV per atom: 267
Total moment, μB per formula unit: 0.0
Space group: Cmmm
Formation enthalpy at 0 K, eV per atom: 0.08
E_tot, eV per atom: -5.31

Lattice parameters (Å, degrees): 2.7681 2.7681 8.8482 90.00 90.00 119.78
Fractional positions:
1 Cu 0.5000 0.5000 0.2500
2 P 0.5000 0.5000 0.7500
3 Pt 0.0000 0.0000 0.9993
4 Pt 0.0000 0.0000 0.5007

---

RbSnGe2Br8 | GGA-PBE | optimized geometry

ΔE_f (raw), eV per atom: -0.762
Total moment, μB per formula unit: 0.0
Space group: P-1
E_tot, eV per atom: -3.06

Lattice parameters (Å, degrees): 7.2018 7.1383 9.4490 82.57 83.18 81.53
Fractional positions:
1 Rb 0.0000 0.0000 0.5000
2 Sn 0.0000 0.0000 0.0000
3 Ge 0.4485 0.4347 0.7493
4 Ge 0.5515 0.5653 0.2507
5 Br 0.1965 0.7590 0.2122
6 Br 0.7035 0.7541 0.0309
7 Br 0.7945 0.2267 0.2021
8 Br 0.8035 0.2410 0.7878
9 Br 0.2965 0.2459 0.9691
10 Br 0.2055 0.7733 0.7979
11 Br 0.6530 0.7091 0.4493
12 Br 0.3470 0.2909 0.5507

---

KMnTe2I | GGA-PBE | optimized geometry

ΔE_f (raw), eV per atom: -0.144
Energy above the lowest structure with this stoichiometry, meV per atom: 0
Total moment, μB per formula unit: 0.0
Space group: P4/mmm
E_tot, eV per atom: -3.76

Lattice parameters (Å, degrees): 5.0202 5.0202 6.2504 90.00 90.00 90.00
Fractional positions:
1 I 0.0000 0.0000 0.5000
2 K 0.5000 0.5000 0.5000
3 Te 0.0000 0.5000 0.0000
4 Te 0.5000 0.0000 0.0000
5 Mn 0.0000 0.0000 0.0000